1.
The following is a DFT calculation (PBE) of an optimized crystal structure of Hf2BiTeP.

```
5
Lattice="4.9513 0.0000 0.0000 0.0000 5.3429 0.0000 0.0000 0.0000 4.9513" Properties=species:S:1:pos:R:3 pbc="T T T"
Hf 0.0000 0.0000 2.4757
Bi 0.0000 2.6715 0.0000
P 0.0000 0.0000 0.0000
Te 2.4757 2.6715 2.4757
Hf 2.4757 0.0000 0.0000
```

## Properties
**E**: -31.4 eV/cell
**SG**: P4/mmm (123)
**Density of states at the Fermi level**: 5.65 states/eV/f.u.

2.
The following is a DFT calculation (PBE) of an optimized crystal structure of BaSnCl4.

```
12
Lattice="-0.6547 -0.3645 -7.3215 -5.6362 -4.7330 0.7396 -4.6454 5.6089 0.4926" Properties=species:S:1:pos:R:3 pbc="T T T"
Sn -2.6500 2.6222 -3.4145
Cl -5.7898 -3.1447 -1.9088
Cl -3.5102 0.2946 -1.7953
Cl -5.1465 3.6560 -4.1806
Cl -7.4261 0.2167 -4.2941
Ba 0.0000 0.0000 0.0000
Ba -3.1454 -2.5488 -3.2910
Cl -3.1405 0.6977 -5.5475
Cl -5.8633 2.9615 -0.3828
Cl -5.0729 -2.4501 -5.7065
Cl -7.7957 -0.1863 -0.5418
Sn -5.1408 0.4379 0.6161
```

## Properties
**Offset from the most stable computed form**: 0.0 kJ/mol of atoms
**SG**: P2_1/c (14)
**Density of states at the Fermi level**: 0.00 states/eV/f.u.

3.
The following is a DFT calculation (PBE) of an optimized crystal structure of Tl8In2Ga.

```
11
Lattice="-1.9185 -2.3257 -4.5078 -4.1093 -5.2239 4.4562 -5.0269 6.1423 -1.0174" Properties=species:S:1:pos:R:3 pbc="T T T"
Tl -9.3687 -3.0622 -0.9257
Tl -5.7619 2.2015 -1.9335
Tl -9.6112 -0.0582 -2.3723
Tl -5.2928 -3.6087 0.8644
In -4.6790 1.8334 1.0576
Tl -7.1539 -0.5367 0.0847
Tl -1.6860 1.6549 -0.1434
Tl -3.9008 -0.8705 -1.1538
Tl -1.4435 -1.3491 1.3032
In -4.4572 -0.9150 2.3811
Ga -0.9593 -1.1628 -2.2539
```

## Properties
**Offset from the most stable computed form**: 0.0 kJ/mol of atoms
**SG**: C2/m (12)
**Density of states at the Fermi level**: 6.74 states/eV/f.u.
**Energy relative to the elements**: 0.070 eV/atom